# Pr12Tl5Ag2, optimized geometry, DFT PBE-GGA
# - D(E_F): 1.146 states/eV/atom
# - Energy of formation from the pure elements: -139.1 meV per atom
data_Pr12Tl5Ag2
_cell_length_a 17.7805
_cell_length_b 7.4939
_cell_length_c 9.3942
_cell_angle_alpha 90.00
_cell_angle_beta 95.92
_cell_angle_gamma 90.00
_symmetry_space_group_name_H-M 'C 1 2/m 1'
_symmetry_Int_Tables_number 12
loop_
_symmetry_equiv_pos_as_xyz
'x,y,z'
'-x,-y,-z'
'-x,y,-z'
'x,-y,z'
'x+1/2,y+1/2,z'
'-x+1/2,-y+1/2,-z'
'-x+1/2,y+1/2,-z'
'x+1/2,-y+1/2,z'
loop_
_atom_site_label
_atom_site_fract_x
_atom_site_fract_y
_atom_site_fract_z
Pr1 0.0012 0.0000 0.1943
Pr2 0.0375 0.5000 0.6872
Pr3 0.1513 0.2494 0.0084
Pr4 0.1623 0.2546 0.4295
Tl1 0.0000 0.5000 0.0000
Tl2 0.2017 0.0000 0.7399
Tl3 0.2266 0.5000 0.7500
Ag1 0.0000 0.1777 0.5000